(1)
Entry from the Alexandria database: crystalline SrIn6Ni4 at its relaxed geometry (PBE).

Cell: 6.797 6.797 6.825 Å, 119.86 119.86 90.00°
Fractional positions:
Sr 0.500 0.500 0.000
In 0.025 0.394 0.419
In 0.000 0.500 0.000
In 0.606 0.606 0.581
In 0.975 0.975 0.581
In 0.500 0.000 0.000
In 0.394 0.025 0.419
Ni 0.771 0.084 0.855
Ni 0.229 0.229 0.145
Ni 0.084 0.771 0.855
Ni 0.916 0.916 0.145

Calculated values
Calculated formation energy = -237 meV/atom
DFT total energy = -3.986 eV/atom

---

(2)
Entry from the Alexandria database: crystalline SrIn2Ni at its relaxed geometry (PBE).

Cell: 4.490 3.932 6.342 Å, 72.01 90.00 90.00°
Fractional positions:
Ni 0.000 0.338 0.447
In 0.500 0.437 0.252
In 0.000 0.012 0.101
Sr 0.500 0.713 0.701

Calculated values
Calculated formation energy = -66 meV/atom
DFT total energy = -3.301 eV/atom

---

(3)
Entry from the Alexandria database: crystalline Sr2InNi2 at its relaxed geometry (PBE).

Cell: 5.876 5.876 5.628 Å, 58.53 58.53 90.00°
Fractional positions:
In 0.000 0.000 0.000
Ni 0.657 0.657 0.687
Ni 0.343 0.343 0.313
Sr 0.750 0.250 0.500
Sr 0.250 0.750 0.500

Calculated values
Calculated formation energy = 15 meV/atom
DFT total energy = -3.518 eV/atom

---

(4)
Entry from the Alexandria database: crystalline SrIn2Ni9 at its relaxed geometry (PBE).

Cell: 4.918 8.332 8.332 Å, 90.00 90.00 90.00°
Site moments in Bohr magnetons follow the coordinates.
Fractional positions:
Ni 0.252 0.175 0.675  0.27
Ni 0.500 0.433 0.712  0.37
Ni 0.500 0.067 0.212  0.37
Ni 0.252 0.325 0.175  0.27
Ni 0.500 0.933 0.788  0.37
Ni 0.500 0.500 0.000  0.27
Ni 0.748 0.675 0.825  0.27
Ni 0.748 0.175 0.675  0.27
Ni 0.500 0.788 0.067  0.37
Ni 0.252 0.675 0.825  0.27
Ni 0.500 0.212 0.933  0.37
Ni 0.748 0.325 0.175  0.27
Ni 0.500 0.288 0.433  0.37
Ni 0.252 0.825 0.325  0.27
Ni 0.500 0.567 0.288  0.37
Ni 0.500 0.712 0.567  0.37
Ni 0.500 0.000 0.500  0.27
Ni 0.748 0.825 0.325  0.27
In 0.000 0.375 0.875  -0.01
In 0.000 0.125 0.375  -0.01
In 0.000 0.875 0.625  -0.01
In 0.000 0.625 0.125  -0.01
Sr 0.000 0.500 0.500  -0.02
Sr 0.000 0.000 0.000  -0.02

Calculated values
Calculated formation energy = -100 meV/atom
DFT total energy = -5.033 eV/atom